1.
A plane-wave DFT calculation with PBEsol was carried out for a geometry-optimized BaTaTe4 structure.

Unit cell a=6.328 b=6.328 c=6.328 alpha=60.00 beta=60.00 gamma=60.00
Positions (direct):
Ba 0.000 0.000 0.000
Ta 0.250 0.250 0.250
Te 0.128 0.624 0.624
Te 0.624 0.128 0.624
Te 0.624 0.624 0.128
Te 0.624 0.624 0.624

Results
Symmetry: F-43m
N(E_F), states/eV/f.u.: 5.7
E_form (uncorrected), eV/atom: 0.530


2.
A plane-wave DFT calculation with PBEsol was carried out for a geometry-optimized CsTi3AlO8 structure.

Unit cell a=2.998 b=7.254 c=7.297 alpha=87.40 beta=78.15 gamma=78.08
Positions (direct):
Cs 0.000 0.000 0.000
Ti 0.165 0.503 0.165
Ti 0.343 0.802 0.512
Ti 0.652 0.183 0.492
Al 0.851 0.487 0.811
O 0.037 0.298 0.628
O 0.291 0.052 0.367
O 0.338 0.621 0.702
O 0.348 0.364 0.941
O 0.662 0.633 0.042
O 0.674 0.366 0.287
O 0.710 0.944 0.635
O 0.965 0.704 0.366

Results
Symmetry: P1
N(E_F), states/eV/f.u.: 0.0
E_form (uncorrected), eV/atom: -2.906


3.
A plane-wave DFT calculation with PBEsol was carried out for a geometry-optimized IrPdW2Se structure.

Unit cell a=4.682 b=4.682 c=4.852 alpha=90.00 beta=90.00 gamma=90.00
Positions (direct):
Ir 0.000 0.000 0.000
Pd 0.000 0.000 0.500
W 0.000 0.500 0.000
W 0.500 0.000 0.000
Se 0.500 0.500 0.500

Results
Symmetry: P4/mmm
N(E_F), states/eV/f.u.: 6.3
E_form (uncorrected), eV/atom: 1.832


4.
A plane-wave DFT calculation with PBEsol was carried out for a geometry-optimized TiFeH2 structure.

Unit cell a=3.867 b=3.867 c=8.321 alpha=90.00 beta=90.00 gamma=90.00
Positions (direct):
Ti 0.000 0.000 0.000
Ti 0.000 0.500 0.250
Ti 0.500 0.000 0.750
Ti 0.500 0.500 0.500
Fe 0.000 0.000 0.500
Fe 0.000 0.500 0.750
Fe 0.500 0.000 0.250
Fe 0.500 0.500 0.000
H 0.197 0.250 0.625
H 0.250 0.697 0.875
H 0.250 0.803 0.375
H 0.303 0.250 0.125
H 0.697 0.750 0.125
H 0.750 0.197 0.375
H 0.750 0.303 0.875
H 0.803 0.750 0.625

Results
Symmetry: I-42d
N(E_F), states/eV/f.u.: 1.0
Polymorph energy (0 for the lowest one), eV/atom: 0.126


5.
A plane-wave DFT calculation with PBEsol was carried out for a geometry-optimized CaTl3 structure.

Unit cell a=3.573 b=5.343 c=5.867 alpha=90.00 beta=95.88 gamma=90.00
Positions (direct):
Ca 0.000 0.000 0.000
Tl 0.280 0.500 0.744
Tl 0.500 0.000 0.500
Tl 0.720 0.500 0.256

Results
Symmetry: P2/m
N(E_F), states/eV/f.u.: 1.9
Calculated formation energy, eV/atom: -0.207


6.
A plane-wave DFT calculation with PBEsol was carried out for a geometry-optimized YGa2CuW structure.

Unit cell a=4.430 b=4.430 c=4.792 alpha=90.00 beta=90.00 gamma=90.00
Positions (direct):
Y 0.000 0.000 0.000
Ga 0.000 0.500 0.500
Ga 0.500 0.000 0.500
Cu 0.500 0.500 0.500
W 0.500 0.500 0.000

Results
Symmetry: P4/mmm
N(E_F), states/eV/f.u.: 2.6
Calculated formation energy, eV/atom: 0.482


7.
A plane-wave DFT calculation with PBEsol was carried out for a geometry-optimized BiRhS3 structure.

Unit cell a=4.597 b=4.597 c=4.597 alpha=90.00 beta=90.00 gamma=90.00
Positions (direct):
Bi 0.000 0.000 0.000
Rh 0.500 0.500 0.500
S 0.000 0.500 0.500
S 0.500 0.000 0.500
S 0.500 0.500 0.000

Results
Symmetry: Pm-3m
N(E_F), states/eV/f.u.: 5.8
E_form (uncorrected), eV/atom: 0.052


8.
A plane-wave DFT calculation with PBEsol was carried out for a geometry-optimized Co2SiAu structure.

Unit cell a=2.683 b=3.422 c=5.431 alpha=90.00 beta=90.00 gamma=90.00
Positions (direct):
Co 0.000 0.000 0.000
Co 0.500 0.500 0.212
Si 0.000 0.000 0.412
Au 0.500 0.500 0.717

Results
Symmetry: Pmm2
N(E_F), states/eV/f.u.: 3.1
E_form (uncorrected), eV/atom: 0.010